(1)
A relaxed structure of Tm2MnSi2Ni5, computed with PBE-GGA.

Cell and atoms, written as POSCAR:
```
Tm2MnSi2Ni5
1.0
-0.6736 3.1360 -0.7987
1.0493 -2.0932 -9.1035
-9.1425 -2.1088 -0.5689
Tm Mn Si Ni
4 2 4 10
Direct
0.0000 0.6776 0.1776
0.0000 0.3224 0.8224
0.0000 0.1776 0.3224
0.0000 0.8224 0.6776
0.0000 0.0000 0.0000
0.0000 0.5000 0.5000
0.0000 0.1207 0.6207
0.0000 0.8793 0.3793
0.0000 0.6207 0.8793
0.0000 0.3793 0.1207
0.5000 0.2097 0.0579
0.5000 0.7903 0.9421
0.5000 0.0579 0.7903
0.5000 0.7097 0.4421
0.5000 0.9421 0.2097
0.5000 0.2903 0.5579
0.5000 0.5579 0.7097
0.5000 0.4421 0.2903
0.5000 0.5000 0.0000
0.5000 0.0000 0.5000
```

Total DFT energy (no corrections)   -6.2254 eV per atom
D(E_F)   15.1 states/eV/cell
Magnetic moment   3.47 μB per formula unit

***

(2)
A relaxed structure of Cd2TcN, computed with PBE-GGA.

Cell and atoms, written as POSCAR:
```
Cd2TcN
1.0
1.3660 -3.6242 -2.4411
0.7278 -4.0153 2.0755
-2.8697 -3.4962 -0.7082
N Tc Cd
1 1 2
Direct
0.0000 0.0000 0.0000
0.5000 0.5000 0.5000
0.2500 0.2500 0.2500
0.7500 0.7500 0.7500
```

Total DFT energy (no corrections)   -3.6191 eV per atom
D(E_F)   5.2 states/eV/cell
Excess energy over the best structure of this formula in the dataset   931 meV/atom
Magnetic moment   2.39 μB per formula unit

***

(3)
A relaxed structure of NaSbC2O6, computed with PBE-GGA.

Cell and atoms, written as POSCAR:
```
NaSbC2O6
1.0
6.5755 0.1050 0.1947
-0.7008 6.5389 0.1947
-1.4476 -1.6371 5.9951
Na Sb C O
2 2 4 12
Direct
0.1266 0.8734 0.2500
0.8734 0.1266 0.7500
0.6494 0.3506 0.2500
0.3506 0.6494 0.7500
0.3709 0.1235 0.7959
0.8765 0.6291 0.7041
0.6291 0.8765 0.2041
0.1235 0.3709 0.2959
0.9353 0.3093 0.1596
0.6907 0.0647 0.3404
0.0647 0.6907 0.8404
0.3093 0.9353 0.6596
0.2522 0.2412 0.3118
0.7588 0.7478 0.1882
0.7478 0.7588 0.6882
0.2412 0.2522 0.8118
0.1638 0.5676 0.4017
0.4324 0.8362 0.0983
0.8362 0.4324 0.5983
0.5676 0.1638 0.9017
```

Total DFT energy (no corrections)   -6.8150 eV per atom
D(E_F)   0.0 states/eV/cell
Magnetic moment   0.00 μB per formula unit

***

no.,formation energy without anion corrections (meV/atom)
1,-438.9
2,1511.3
3,-1451.2